This record from the Alexandria database describes a relaxed structure of Tl2SiH. The functional is PBE-GGA.

```
Tl2SiH
1.0
1.7057 -3.9156 2.3250
-2.8701 -3.8662 0.6798
0.8386 -4.1125 -2.4558
Tl H Si
2 1 1
Direct
0.7500 0.7500 0.7500
0.2500 0.2500 0.2500
0.0000 0.0000 0.0000
0.5000 0.5000 0.5000
```

Calculated values
- excess energy over the best structure of this formula in the dataset (eV per atom) = 0.043
- calculated density (kg/m³) = 8942